This record from the Alexandria database describes a relaxed structure of AlCrNO2. The functional is PBE+U.

```
data_AlCrNO2
_cell_length_a 3.4676
_cell_length_b 3.4676
_cell_length_c 5.6657
_cell_angle_alpha 90.00
_cell_angle_beta 90.00
_cell_angle_gamma 90.00
_space_group_name_H-M_alt 'P 4/m m m'
_space_group_IT_number 123
_space_group_name_Hall '-P 4 2'
loop_
_atom_site_label
_atom_site_type_symbol
_atom_site_fract_x
_atom_site_fract_y
_atom_site_fract_z
_atom_site_occupancy
Al1 Al 0.0000 0.0000 0.0000 1
Cr1 Cr 0.0000 0.0000 0.5000 1
N1 N 0.5000 0.5000 0.0000 1
O1 O 0.0000 0.5000 0.5000 1
```

Computed properties:
calculated total energy	-5.846	eV per atom
total magnetic moment	2.2	μB/f.u.